# 1
First-principles (PBEsol) data for crystalline BeTeP at its relaxed geometry, as listed in Alexandria.

a b c (Å): 4.4462 4.4462 4.4462
angles (deg): 60.00 60.00 60.00
Last column: nearest neighbours and their distance in Å.
Atoms (fractional coordinates):
Be 0.0000 0.0000 0.0000  4 Te 2.72
P 0.5000 0.5000 0.5000  4 Te 2.72
Te 0.7500 0.7500 0.7500  4 Be 2.72, 4 P 2.72

Summary:
The calculation puts the formation energy from raw total energies at 0.9401 eV per atom. The calculation puts the density at 4.48 g cm⁻³. Its total energy is -3.499 eV/atom.

***

# 2
First-principles (PBEsol) data for crystalline BeTeP at its relaxed geometry, as listed in Alexandria.

a b c (Å): 4.2970 4.2970 4.2970
angles (deg): 60.00 60.00 60.00
Last column: nearest neighbours and their distance in Å.
Atoms (fractional coordinates):
P 0.0000 0.0000 0.0000  4 Be 2.63
Be 0.7500 0.7500 0.7500  4 Te 2.63, 4 P 2.63
Te 0.5000 0.5000 0.5000  4 Be 2.63

Summary:
The calculation puts the formation energy from raw total energies at 0.4983 eV per atom. The calculation puts the density at 4.96 g cm⁻³. Its total energy is -3.941 eV/atom.